Density functional theory data (PBE) for a relaxed structure of LaCo2Si.

Lattice parameters (Å, degrees): 2.9322 2.9322 6.9916 90.00 90.00 90.00
Closest atoms and distances in Å follow each position.
Atoms (fractional coordinates):
La1 0.0000 0.0000 0.0000  4 La 2.93, 8 Co 3.05
Co1 0.5000 0.5000 0.3207  4 Si 2.42, 1 Co 2.51
Co2 0.5000 0.5000 0.6793  4 Si 2.42, 1 Co 2.51
Si1 0.0000 0.0000 0.5000  8 Co 2.42

Properties
The space-group type is No. 123. The uncorrected formation energy is -0.12 eV per atom. The crystal system is tetragonal.



Density functional theory data (PBE) for a relaxed structure of La3CoSi.

Lattice parameters (Å, degrees): 5.2115 5.2115 5.2115 90.00 90.00 90.00
Closest atoms and distances in Å follow each position.
Atoms (fractional coordinates):
La1 0.0000 0.0000 0.5000  2 Co 2.61
La2 0.0000 0.5000 0.0000  2 Co 2.61
La3 0.5000 0.0000 0.0000  2 Co 2.61
Co1 0.0000 0.0000 0.0000  6 La 2.61
Si1 0.5000 0.5000 0.5000  12 La 3.69

Properties
The space-group type is No. 221. The uncorrected formation energy is -0.20 eV per atom. The crystal system is cubic.



Density functional theory data (PBE) for a relaxed structure of LaCoSi2.

Lattice parameters (Å, degrees): 3.9952 3.9952 4.5000 90.00 90.00 90.00
Closest atoms and distances in Å follow each position.
Atoms (fractional coordinates):
La1 0.0000 0.0000 0.0000  4 Co 2.83, 8 Si 3.01
Co1 0.5000 0.5000 0.0000  4 La 2.83, 8 Si 3.01
Si1 0.0000 0.5000 0.5000  4 Si 2.83, 4 La 3.01, 4 Co 3.01
Si2 0.5000 0.0000 0.5000  4 Si 2.83, 4 La 3.01, 4 Co 3.01

Properties
The space-group type is No. 123. The uncorrected formation energy is -0.01 eV per atom. The crystal system is tetragonal.



In order of appearance, volume = 60.1 141.5 71.8 Å³/f.u..